This record from the Alexandria database describes an optimized crystal structure of CuMoO4F. The functional is PBE with a Hubbard U.

Its density of states at the Fermi level is 0.29 states/eV/f.u. The value obtained for the energy is -5.765 eV/atom. The mass density is 3.78 g cm⁻³.

It has space group P2_1/m (No. 11), with a = 5.5552 Å, b = 5.7905 Å, c = 6.7311 Å, α = 90.00°, β = 99.96° and γ = 90.00°. The distinct sites, in fractional coordinates, are Cu at (0.1982, 0.2500, 0.4569), Mo at (0.3510, 0.7500, 0.7356), O at (0.1544, 0.5062, 0.6750), O at (0.2913, 0.2500, 0.2131), O at (0.4716, 0.7500, 0.4822) and F at (0.4036, 0.7500, 0.0236).